# 1
A plane-wave DFT calculation with PBE was carried out for Pr2HfSi2 after structural relaxation.

Values from the calculation:
* electronic total energy: -6.63 eV per atom
* crystal system: tetragonal
* space group: P4/mbm, No. 127
* density: 7.15 g/cm³

Unit cell a=7.374 b=7.374 c=4.414 alpha=90.00 beta=90.00 gamma=90.00
Fractional positions:
Pr 0.176 0.324 0.000
Pr 0.324 0.824 0.000
Pr 0.676 0.176 0.000
Pr 0.824 0.676 0.000
Hf 0.000 0.000 0.500
Hf 0.500 0.500 0.500
Si 0.124 0.624 0.500
Si 0.376 0.124 0.500
Si 0.624 0.876 0.500
Si 0.876 0.376 0.500

---

# 2
A plane-wave DFT calculation with PBE was carried out for PrHfSi2 after structural relaxation.

Values from the calculation:
* distance to the lowest polymorph of the same formula: 0 meV/atom
* electronic total energy: -7.09 eV per atom
* crystal system: orthorhombic
* space group: Pmn2_1, No. 31
* density: 7.59 g/cm³

Unit cell a=3.826 b=7.764 c=5.534 alpha=90.00 beta=90.00 gamma=90.00
Fractional positions:
Pr 0.000 0.074 0.000
Pr 0.500 0.926 0.500
Hf 0.000 0.565 0.260
Hf 0.500 0.435 0.760
Si 0.000 0.239 0.513
Si 0.000 0.686 0.743
Si 0.500 0.314 0.243
Si 0.500 0.761 0.013

---

# 3
A plane-wave DFT calculation with PBE was carried out for PrSmHf after structural relaxation.

Values from the calculation:
* distance to the lowest polymorph of the same formula: 0 meV/atom
* electronic total energy: -5.65 eV per atom
* crystal system: cubic
* space group: F-43m, No. 216
* E_form: 0.833 eV/atom
* density: 7.48 g/cm³

Unit cell a=5.282 b=5.282 c=5.282 alpha=60.00 beta=60.00 gamma=60.00
Fractional positions:
Pr 0.000 0.000 0.000
Sm 0.500 0.500 0.500
Hf 0.250 0.250 0.250